# RbBe3Tl | Alexandria via LeMat-Bulk | PBE-GGA | optimized geometry
data_RbBe3Tl
_space_group_name_H-M_alt 'P 1'
_space_group_IT_number 1
_cell_length_a 4.862
_cell_length_b 4.862
_cell_length_c 4.862
_cell_angle_alpha 90.00
_cell_angle_beta 90.00
_cell_angle_gamma 90.00
loop_
_space_group_symop_operation_xyz
'x,y,z'
loop_
_atom_site_label
_atom_site_type_symbol
_atom_site_fract_x
_atom_site_fract_y
_atom_site_fract_z
_atom_site_occupancy
Rb1 Rb 0.500 0.500 0.500 1
Be1 Be 0.000 0.000 0.500 1
Tl1 Tl 0.000 0.000 0.000 1
Be2 Be 0.500 0.000 0.000 1
Be3 Be 0.000 0.500 0.000 1
# Crystal system: cubic
# Density (g/cm³): 4.58
# DOS(E_F) (states/eV per cell): 3.52
# Polymorph energy (0 for the lowest one) (kcal/mol of atoms): 0.00
# Energy of formation (kJ per mole of atoms): 110



# RbSrPt2 | Alexandria via LeMat-Bulk | PBE-GGA | optimized geometry
data_RbSrPt2
_space_group_name_H-M_alt 'P 1'
_space_group_IT_number 1
_cell_length_a 5.318
_cell_length_b 5.318
_cell_length_c 5.318
_cell_angle_alpha 60.00
_cell_angle_beta 60.00
_cell_angle_gamma 60.00
loop_
_space_group_symop_operation_xyz
'x,y,z'
loop_
_atom_site_label
_atom_site_type_symbol
_atom_site_fract_x
_atom_site_fract_y
_atom_site_fract_z
_atom_site_occupancy
Rb1 Rb 0.000 0.000 0.000 1
Pt1 Pt 0.750 0.750 0.750 1
Pt2 Pt 0.250 0.250 0.250 1
Sr1 Sr 0.500 0.500 0.500 1
# Crystal system: cubic
# Density (g/cm³): 8.80
# DOS(E_F) (states/eV per cell): 4.23
# Polymorph energy (0 for the lowest one) (kcal/mol of atoms): 0.23
# Energy of formation (kJ per mole of atoms): 0



# ScTaNi | Alexandria via LeMat-Bulk | PBE-GGA | optimized geometry
data_ScTaNi
_space_group_name_H-M_alt 'P 1'
_space_group_IT_number 1
_cell_length_a 4.299
_cell_length_b 4.299
_cell_length_c 4.299
_cell_angle_alpha 60.00
_cell_angle_beta 60.00
_cell_angle_gamma 60.00
loop_
_space_group_symop_operation_xyz
'x,y,z'
loop_
_atom_site_label
_atom_site_type_symbol
_atom_site_fract_x
_atom_site_fract_y
_atom_site_fract_z
_atom_site_occupancy
Ni1 Ni 0.250 0.250 0.250 1
Sc1 Sc 0.000 0.000 0.000 1
Ta1 Ta 0.500 0.500 0.500 1
# Crystal system: cubic
# Density (g/cm³): 8.41
# DOS(E_F) (states/eV per cell): 4.81
# Polymorph energy (0 for the lowest one) (kcal/mol of atoms): 8.70
# Energy of formation (kJ per mole of atoms): 20



# TmAl3 | Alexandria via LeMat-Bulk | PBE-GGA | optimized geometry
data_TmAl3
_space_group_name_H-M_alt 'P 1'
_space_group_IT_number 1
_cell_length_a 6.073
_cell_length_b 6.073
_cell_length_c 4.759
_cell_angle_alpha 90.00
_cell_angle_beta 90.00
_cell_angle_gamma 120.00
loop_
_space_group_symop_operation_xyz
'x,y,z'
loop_
_atom_site_label
_atom_site_type_symbol
_atom_site_fract_x
_atom_site_fract_y
_atom_site_fract_z
_atom_site_occupancy
Tm1 Tm 0.667 0.333 0.250 1
Tm2 Tm 0.333 0.667 0.750 1
Al1 Al 0.848 0.696 0.750 1
Al2 Al 0.152 0.848 0.250 1
Al3 Al 0.696 0.848 0.250 1
Al4 Al 0.152 0.304 0.250 1
Al5 Al 0.304 0.152 0.750 1
Al6 Al 0.848 0.152 0.750 1
# Crystal system: hexagonal
# Density (g/cm³): 5.46
# DOS(E_F) (states/eV per cell): 3.00
# Energy of formation (kJ per mole of atoms): -38



The records above yield spin magnetization values of 0.00; 0.00; 0.00; 0.00 μB/f.u., respectively.